{
  "formula": "LiMnP3O9",
  "functional": "PBE+U",
  "state": "relaxed",
  "magnetic_moment_mub_per_cell": 4.98,
  "total_energy_ev_per_cell": -99.568,
  "sg": "R3",
  "density_kg_m3": 2792,
  "dos_at_fermi_per_ev_atom": 0.000,
  "lattice": [[4.985, 2.878, 2.064], [-4.985, 2.878, 2.064], [0.000, -5.757, 2.064]],
  "species": ["Li", "Mn", "P", "P", "P", "O", "O", "O", "O", "O", "O", "O", "O", "O"],
  "fractional_positions": [[0.000, 0.000, 0.000], [0.497, 0.497, 0.497], [0.079, 0.991, 0.516], [0.516, 0.079, 0.991], [0.991, 0.516, 0.079], [0.090, 0.182, 0.411], [0.149, 0.784, 0.353], [0.182, 0.411, 0.090], [0.353, 0.149, 0.784], [0.411, 0.090, 0.182], [0.553, 0.850, 0.854], [0.784, 0.353, 0.149], [0.850, 0.854, 0.553], [0.854, 0.553, 0.850]]
}